Compound: EuTl2Hg
Source: the Alexandria database
Functional: PBE-GGA
Structure: optimized geometry

Lattice parameters (Å, degrees): 4.0349 4.0349 7.2237 90.00 90.00 90.00
Space group P4/mmm (No. 123)
Symmetry-distinct sites (fractional):
Eu 0.0000 0.0000 0.0000 [1 per cell]
Tl 0.5000 0.5000 0.2740 [2 per cell]
Hg 0.0000 0.0000 0.5000 [1 per cell]

Output
As for the formation energy from the elements: -0.1986 eV/atom. The total energy comes out at -16.10 eV/cell.


Compound: LaFeP2S
Source: the Alexandria database
Functional: PBE-GGA
Structure: optimized geometry

Lattice parameters (Å, degrees): 5.5051 5.5051 5.3855 90.00 90.00 90.00
Space group P4/mmm (No. 123)
Symmetry-distinct sites (fractional):
La 0.0000 0.0000 0.0000 [1 per cell]
Fe 0.5000 0.5000 0.5000 [1 per cell]
P 0.0000 0.5000 0.0000 [2 per cell]
S 0.0000 0.0000 0.5000 [1 per cell]

Output
For the energy relative to the elements, uncorrected, the calculation gives 1.04 eV per atom. As for the energy above the most stable polymorph in this dataset: 1672 meV per atom. The total energy comes out at -23.13 eV/cell.


Compound: K2Rh
Source: the Alexandria database
Functional: PBE-GGA
Structure: optimized geometry

Lattice parameters (Å, degrees): 6.0884 6.0884 10.9452 90.00 90.00 120.00
Space group P6_3/mmc (No. 194)
Symmetry-distinct sites (fractional):
K 0.0000 0.0000 0.0000 [2 per cell]
K 0.1731 0.3463 0.2500 [6 per cell]
Rh 0.3333 0.6667 0.5093 [4 per cell]

Output
As for the formation energy from the elements: 1.0710 eV/atom. As for the energy above the most stable polymorph in this dataset: 717 meV per atom. The total energy comes out at -25.33 eV/cell.


Compound: ZrGaAg2Pt
Source: the Alexandria database
Functional: PBE-GGA
Structure: optimized geometry

Lattice parameters (Å, degrees): 4.6500 4.6500 5.1300 90.00 90.00 90.00
Space group P4/mmm (No. 123)
Symmetry-distinct sites (fractional):
Zr 0.0000 0.0000 0.0000 [1 per cell]
Ga 0.0000 0.0000 0.5000 [1 per cell]
Ag 0.0000 0.5000 0.5000 [2 per cell]
Pt 0.5000 0.5000 0.0000 [1 per cell]

Output
As for the formation energy from the elements: 0.5939 eV/atom. The total energy comes out at -20.35 eV/cell.


Compound: LiNd2SbO5
Source: the Alexandria database
Functional: PBE-GGA
Structure: optimized geometry

Lattice parameters (Å, degrees): 6.8095 6.8095 6.2867 90.00 90.00 90.00
Space group P4/mbm (No. 127)
Symmetry-distinct sites (fractional):
Li 0.0000 0.0000 0.0000 [2 per cell]
Nd 0.1766 0.3234 0.5000 [4 per cell]
Sb 0.0000 0.5000 0.0000 [2 per cell]
O 0.0000 0.0000 0.5000 [2 per cell]
O 0.1429 0.6429 0.2583 [8 per cell]

Output
For the energy relative to the elements, uncorrected, the calculation gives -2.16 eV per atom. The total energy comes out at -119.62 eV/cell.


Compound: Ca3Cu3P4O16
Source: the Alexandria database
Functional: PBE-GGA
Structure: optimized geometry

Lattice parameters (Å, degrees): 9.0400 4.9686 16.6735 90.00 117.89 90.00
Space group P2_1/c (No. 14)
Symmetry-distinct sites (fractional):
Ca 0.0000 0.0000 0.0000 [2 per cell]
Ca 0.3010 0.0303 0.2655 [4 per cell]
Cu 0.2070 0.5299 0.3801 [4 per cell]
Cu 0.5000 0.0000 0.5000 [2 per cell]
P 0.0370 0.5119 0.1599 [4 per cell]
P 0.4359 0.5088 0.5937 [4 per cell]
O 0.0340 0.6797 0.6428 [4 per cell]
O 0.0916 0.1495 0.6007 [4 per cell]
O 0.1372 0.5771 0.8505 [4 per cell]
O 0.1783 0.0415 0.7601 [4 per cell]
O 0.2641 0.5536 0.5089 [4 per cell]
O 0.4299 0.1930 0.9172 [4 per cell]
O 0.4317 0.5924 0.6803 [4 per cell]
O 0.4982 0.2117 0.6006 [4 per cell]

Output
For the energy relative to the elements, uncorrected, the calculation gives -2.18 eV per atom. The total energy comes out at -352.10 eV/cell.


Compound: LaTm2Ag2Pb2
Source: the Alexandria database
Functional: PBE-GGA
Structure: optimized geometry

Lattice parameters (Å, degrees): 4.9471 4.9471 26.4401 90.00 90.00 120.00
Space group R-3m (No. 166, hexagonal axes)
Symmetry-distinct sites (fractional):
La 0.0000 0.0000 0.0000 [3 per cell]
Tm 0.0000 0.0000 0.1349 [6 per cell]
Ag 0.0000 0.0000 0.4441 [6 per cell]
Pb 0.0000 0.0000 0.2630 [6 per cell]

Output
As for the formation energy from the elements: -0.3464 eV/atom. The total energy comes out at -88.24 eV/cell.


Compound: Sr2HO
Source: the Alexandria database
Functional: PBE-GGA
Structure: optimized geometry

Lattice parameters (Å, degrees): 3.7405 3.7405 19.3227 90.00 90.00 120.00
Space group R3m (No. 160, hexagonal axes)
Symmetry-distinct sites (fractional):
Sr 0.0000 0.0000 0.0000 [3 per cell]
Sr 0.0000 0.0000 0.1810 [3 per cell]
H 0.0000 0.0000 0.4136 [3 per cell]
O 0.0000 0.0000 0.5961 [3 per cell]

Output
As for the energy above the most stable polymorph in this dataset: 111 meV per atom. The total energy comes out at -51.34 eV/cell.


Compound: Sm4Tm5Cd
Source: the Alexandria database
Functional: PBE-GGA
Structure: optimized geometry

Lattice parameters (Å, degrees): 10.6479 10.6479 5.6738 90.00 90.00 90.00
Space group I4mm (No. 107)
Symmetry-distinct sites (fractional):
Sm 0.0000 0.3182 0.0000 [8 per cell]
Tm 0.0000 0.0000 0.8038 [2 per cell]
Tm 0.1838 0.1838 0.5066 [8 per cell]
Cd 0.0000 0.0000 0.2867 [2 per cell]

Output
As for the formation energy from the elements: 0.1163 eV/atom. As for the energy above the most stable polymorph in this dataset: 162 meV per atom. The total energy comes out at -81.97 eV/cell.


Compound: BaPr2Ni
Source: the Alexandria database
Functional: PBE-GGA
Structure: optimized geometry

Lattice parameters (Å, degrees): 4.1893 4.1893 29.4145 90.00 90.00 120.00
Space group R3m (No. 160, hexagonal axes)
Symmetry-distinct sites (fractional):
Ba 0.0000 0.0000 0.0000 [3 per cell]
Pr 0.0000 0.0000 0.2179 [3 per cell]
Pr 0.0000 0.0000 0.4516 [3 per cell]
Ni 0.0000 0.0000 0.8349 [3 per cell]

Output
As for the formation energy from the elements: -0.0493 eV/atom. As for the energy above the most stable polymorph in this dataset: 0 meV per atom. The total energy comes out at -52.38 eV/cell.


Compound: Dy2Sn2BIr4
Source: the Alexandria database
Functional: PBE-GGA
Structure: optimized geometry

Lattice parameters (Å, degrees): 6.0943 6.0943 8.7144 90.00 90.00 90.00
Space group I4/mmm (No. 139)
Symmetry-distinct sites (fractional):
Dy 0.0000 0.0000 0.2111 [4 per cell]
Sn 0.0000 0.5000 0.2500 [4 per cell]
B 0.0000 0.0000 0.5000 [2 per cell]
Ir 0.2418 0.2418 0.5000 [8 per cell]

Output
As for the formation energy from the elements: -0.3737 eV/atom. The total energy comes out at -125.39 eV/cell.


Compound: Sr4MgAg3
Source: the Alexandria database
Functional: PBE-GGA
Structure: optimized geometry

Lattice parameters (Å, degrees): 4.5419 4.8015 12.3620 90.00 90.00 90.00
Space group Pmm2 (No. 25)
Symmetry-distinct sites (fractional):
Sr 0.0000 0.0000 0.0000 [1 per cell]
Sr 0.0000 0.5000 0.2702 [1 per cell]
Sr 0.5000 0.0000 0.4795 [1 per cell]
Sr 0.5000 0.5000 0.7828 [1 per cell]
Mg 0.0000 0.0000 0.6937 [1 per cell]
Ag 0.0000 0.5000 0.5657 [1 per cell]
Ag 0.5000 0.0000 0.2028 [1 per cell]
Ag 0.5000 0.5000 0.0658 [1 per cell]

Output
As for the formation energy from the elements: -0.2422 eV/atom. The total energy comes out at -18.81 eV/cell.


Compound: DyPuMnCo
Source: the Alexandria database
Functional: PBE-GGA
Structure: optimized geometry

Lattice parameters (Å, degrees): 6.7188 6.7188 6.7188 90.00 90.00 90.00
Space group F-43m (No. 216)
Symmetry-distinct sites (fractional):
Dy 0.0000 0.0000 0.0000 [4 per cell]
Pu 0.0000 0.0000 0.5000 [4 per cell]
Mn 0.2500 0.2500 0.7500 [4 per cell]
Co 0.2500 0.2500 0.2500 [4 per cell]

Output
As for the formation energy from the elements: 0.0487 eV/atom. The total energy comes out at -140.06 eV/cell.


Compound: ZrMo2C
Source: the Alexandria database
Functional: PBE-GGA
Structure: optimized geometry

Lattice parameters (Å, degrees): 7.2052 7.2052 4.7434 90.00 90.00 90.00
Space group I-42d (No. 122)
Symmetry-distinct sites (fractional):
Zr 0.0000 0.0000 0.0000 [4 per cell]
Mo 0.1396 0.2500 0.6250 [8 per cell]
C 0.0000 0.0000 0.5000 [4 per cell]

Output
As for the formation energy from the elements: 0.0978 eV/atom. The total energy comes out at -156.17 eV/cell.


Compound: Hg3SI3
Source: the Alexandria database
Functional: PBE-GGA
Structure: optimized geometry

Lattice parameters (Å, degrees): 9.5467 16.5246 7.4410 90.00 90.00 90.00
Space group Cmcm (No. 63)
Symmetry-distinct sites (fractional):
Hg 0.0000 0.1820 0.2500 [4 per cell]
Hg 0.2265 0.4089 0.2500 [8 per cell]
S 0.0000 0.3332 0.2500 [4 per cell]
I 0.0000 0.1687 0.7500 [4 per cell]
I 0.2466 0.4157 0.7500 [8 per cell]

Output
For the energy relative to the elements, uncorrected, the calculation gives -0.11 eV per atom. The total energy comes out at -41.95 eV/cell.